InAg2HPt after structural relaxation, computed with PBE-GGA.

Output
D(E_F)   1.24 states/eV/cell
Uncorrected energy   -3.560 eV per atom
Total magnetization   0.0 μB/f.u.

The structure in POSCAR format:
```
InAg2HPt
1.0
4.3685 0.0000 0.0000
0.0000 4.3685 0.0000
0.0000 0.0000 3.9409
H Pt Ag In
1 1 2 1
Direct
0.0000 0.0000 0.0000
0.0000 0.0000 0.5000
0.5000 0.0000 0.0000
0.0000 0.5000 0.0000
0.5000 0.5000 0.5000
```



Ac3Si5Rh6 after structural relaxation, computed with PBE-GGA.

Output
D(E_F)   13.35 states/eV/cell
Total magnetization   0.0 μB/f.u.
Formation energy (no corrections)   -0.90 eV/atom

The structure in POSCAR format:
```
Ac3Si5Rh6
1.0
4.0511 0.0000 0.0000
0.0000 10.5622 0.0000
0.0000 0.0000 12.7104
Si Rh Ac
10 12 6
Direct
0.0000 0.9109 0.0000
0.5000 0.4981 0.3717
0.5000 0.4981 0.6283
0.0000 0.5019 0.1283
0.0000 0.8641 0.6767
0.5000 0.1359 0.1767
0.5000 0.1359 0.8233
0.0000 0.8641 0.3233
0.5000 0.0891 0.5000
0.0000 0.5019 0.8717
0.5000 0.4011 0.2021
0.5000 0.5055 0.0000
0.0000 0.5989 0.2979
0.0000 0.0110 0.8298
0.0000 0.0110 0.1702
0.0000 0.5989 0.7021
0.5000 0.9890 0.3298
0.0000 0.9736 0.5000
0.0000 0.4945 0.5000
0.5000 0.9890 0.6702
0.5000 0.0264 0.0000
0.5000 0.4011 0.7979
0.0000 0.2584 0.3487
0.0000 0.2584 0.6513
0.5000 0.7416 0.8487
0.5000 0.7416 0.1513
0.0000 0.2574 0.0000
0.5000 0.7426 0.5000
```



BaMgCdHg2 after structural relaxation, computed with PBE-GGA.

Output
D(E_F)   3.13 states/eV/cell
Formation energy from the elements   -0.19 eV per atom
Total magnetization   0.0 μB/f.u.
Relative energy among the computed polymorphs   0.84 eV/f.u.

The structure in POSCAR format:
```
BaMgCdHg2
1.0
-4.9751 1.5588 -1.6281
1.0611 -1.8609 -5.0242
-1.9774 -4.8653 1.3844
Cd Ba Mg Hg
1 1 1 2
Direct
0.0000 0.0000 0.5000
0.5000 0.5000 0.5000
0.0000 0.0000 0.0000
0.5000 0.0000 0.0000
0.0000 0.5000 0.0000
```



Zr2TiTcIr after structural relaxation, computed with PBE-GGA.

Output
D(E_F)   6.71 states/eV/cell
Formation energy from the elements   0.70 eV per atom
Total magnetization   2.1 μB/f.u.

The structure in POSCAR format:
```
Zr2TiTcIr
1.0
5.0353 0.0000 0.0000
0.0000 4.7158 0.0000
0.0000 0.0000 5.0353
Ir Ti Zr Tc
1 1 2 1
Direct
0.0000 0.0000 0.0000
0.5000 0.5000 0.5000
0.5000 0.0000 0.0000
0.0000 0.0000 0.5000
0.0000 0.5000 0.0000
```